A relaxed structure of HgAs2Au. Source: Alexandria via LeMat-Bulk, functional GGA-PBE.

Properties
SG   R-3m, No. 166
Crystal system   trigonal
ΔE_f   288.8 meV/atom
Energy above the most stable polymorph in this dataset   280.7 meV per atom

Cell lengths 9.8732, 9.8732, 9.8732 Å; angles 18.77, 18.77, 18.77 degrees
Closest atoms and distances in Å follow each position.
Positions (direct):
Hg 0.0000 0.0000 0.0000  6 Hg 3.22, 6 As 3.40
As 0.2355 0.2355 0.2355  3 Au 2.73
As 0.7645 0.7645 0.7645  3 Au 2.73
Au 0.5000 0.5000 0.5000  6 As 2.73